Entry 1:
This record from the Alexandria database describes crystalline NdAlZn3Cu at its relaxed geometry. The functional is PBE.

Cell and atoms, written as CIF:
```
data_NdAlZn3Cu
_cell_length_a 6.314
_cell_length_b 12.718
_cell_length_c 5.708
_cell_angle_alpha 90.00
_cell_angle_beta 90.00
_cell_angle_gamma 90.00
_space_group_name_H-M_alt 'C m c m'
_space_group_IT_number 63
_space_group_name_Hall '-C 2c 2'
loop_
_atom_site_label
_atom_site_type_symbol
_atom_site_fract_x
_atom_site_fract_y
_atom_site_fract_z
Nd1 Nd 0.000 0.205 0.250
Al1 Al 0.000 0.435 0.250
Zn1 Zn 0.000 0.355 0.750
Zn2 Zn 0.194 0.000 0.000
Cu1 Cu 0.000 0.148 0.750
```

***

Entry 2:
This record from the Alexandria database describes crystalline NdAl2ZnCu at its relaxed geometry. The functional is PBE.

Cell and atoms, written as CIF:
```
data_NdAl2ZnCu
_cell_length_a 4.265
_cell_length_b 4.287
_cell_length_c 10.423
_cell_angle_alpha 90.00
_cell_angle_beta 90.00
_cell_angle_gamma 90.00
_space_group_name_H-M_alt 'I m m 2'
_space_group_IT_number 44
loop_
_space_group_symop_operation_xyz
'x,y,z'
'-x,-y,z'
'-x,y,z'
'x,-y,z'
'x+1/2,y+1/2,z+1/2'
'-x+1/2,-y+1/2,z+1/2'
'-x+1/2,y+1/2,z+1/2'
'x+1/2,-y+1/2,z+1/2'
loop_
_atom_site_label
_atom_site_type_symbol
_atom_site_fract_x
_atom_site_fract_y
_atom_site_fract_z
Nd1 Nd 0.000 0.000 0.000
Al1 Al 0.000 0.000 0.397
Al2 Al 0.000 0.500 0.245
Zn1 Zn 0.000 0.500 0.751
Cu1 Cu 0.000 0.000 0.627
```

***

Entry 3:
This record from the Alexandria database describes crystalline NdAl2Zn4Cu at its relaxed geometry. The functional is PBE.

Cell and atoms, written as CIF:
```
data_NdAl2Zn4Cu
_cell_length_a 4.3222
_cell_length_b 4.3222
_cell_length_c 25.9237
_cell_angle_alpha 90.00
_cell_angle_beta 90.00
_cell_angle_gamma 120.00
_space_group_name_H-M_alt 'R -3 m'
_space_group_IT_number 166
_space_group_name_Hall '-R 3 2"'
loop_
_atom_site_label
_atom_site_type_symbol
_atom_site_fract_x
_atom_site_fract_y
_atom_site_fract_z
Nd1 Nd 0.0000 0.0000 0.0000
Al1 Al 0.0000 0.0000 0.2445
Zn1 Zn 0.0000 0.0000 0.1333
Zn2 Zn 0.0000 0.0000 0.4019
Cu1 Cu 0.0000 0.0000 0.5000
```

***

Entry 4:
This record from the Alexandria database describes crystalline NdAl4ZnCu2 at its relaxed geometry. The functional is PBE.

Cell and atoms, written as CIF:
```
data_NdAl4ZnCu2
_cell_length_a 4.2567
_cell_length_b 4.2567
_cell_length_c 26.9001
_cell_angle_alpha 90.00
_cell_angle_beta 90.00
_cell_angle_gamma 120.00
_space_group_name_H-M_alt 'R -3 m'
_space_group_IT_number 166
_space_group_name_Hall '-R 3 2"'
loop_
_atom_site_label
_atom_site_type_symbol
_atom_site_fract_x
_atom_site_fract_y
_atom_site_fract_z
Nd1 Nd 0.0000 0.0000 0.0000
Al1 Al 0.0000 0.0000 0.1262
Al2 Al 0.0000 0.0000 0.4042
Zn1 Zn 0.0000 0.0000 0.5000
Cu1 Cu 0.0000 0.0000 0.2352
```

***

Entry 5:
This record from the Alexandria database describes crystalline Nd2Al3Zn4Cu at its relaxed geometry. The functional is PBE.

Cell and atoms, written as CIF:
```
data_Nd2Al3Zn4Cu
_cell_length_a 4.279
_cell_length_b 4.279
_cell_length_c 10.499
_cell_angle_alpha 90.00
_cell_angle_beta 90.00
_cell_angle_gamma 90.00
_space_group_name_H-M_alt 'P -4 m 2'
_space_group_IT_number 115
loop_
_space_group_symop_operation_xyz
'x,y,z'
'y,-x,-z'
'-x,-y,z'
'-y,x,-z'
'-x,y,z'
'-y,-x,-z'
'x,-y,z'
'y,x,-z'
loop_
_atom_site_label
_atom_site_type_symbol
_atom_site_fract_x
_atom_site_fract_y
_atom_site_fract_z
Nd1 Nd 0.000 0.500 0.247
Al1 Al 0.000 0.000 0.000
Al2 Al 0.000 0.500 0.636
Zn1 Zn 0.000 0.000 0.500
Zn2 Zn 0.000 0.500 0.873
Zn3 Zn 0.500 0.500 0.500
Cu1 Cu 0.500 0.500 0.000
```

***

Entry 6:
This record from the Alexandria database describes crystalline NdAl2ZnCu4 at its relaxed geometry. The functional is PBE.

Cell and atoms, written as CIF:
```
data_NdAl2ZnCu4
_cell_length_a 4.1792
_cell_length_b 4.1792
_cell_length_c 25.8066
_cell_angle_alpha 90.00
_cell_angle_beta 90.00
_cell_angle_gamma 120.00
_space_group_name_H-M_alt 'R -3 m'
_space_group_IT_number 166
_space_group_name_Hall '-R 3 2"'
loop_
_atom_site_label
_atom_site_type_symbol
_atom_site_fract_x
_atom_site_fract_y
_atom_site_fract_z
Nd1 Nd 0.0000 0.0000 0.0000
Al1 Al 0.0000 0.0000 0.2395
Zn1 Zn 0.0000 0.0000 0.5000
Cu1 Cu 0.0000 0.0000 0.1334
Cu2 Cu 0.0000 0.0000 0.4052
```

***

Entry 7:
This record from the Alexandria database describes crystalline NdAlZn6Cu at its relaxed geometry. The functional is PBE.

Cell and atoms, written as CIF:
```
data_NdAlZn6Cu
_cell_length_a 6.802
_cell_length_b 8.952
_cell_length_c 11.018
_cell_angle_alpha 90.00
_cell_angle_beta 90.00
_cell_angle_gamma 90.00
_space_group_name_H-M_alt 'I m m a'
_space_group_IT_number 74
_space_group_name_Hall '-I 2b 2'
loop_
_atom_site_label
_atom_site_type_symbol
_atom_site_fract_x
_atom_site_fract_y
_atom_site_fract_z
Nd1 Nd 0.000 0.250 0.202
Al1 Al 0.250 0.250 0.750
Zn1 Zn 0.000 0.250 0.507
Zn2 Zn 0.000 0.250 0.922
Zn3 Zn 0.191 0.002 0.377
Cu1 Cu 0.000 0.000 0.000
```

***

Entry 8:
This record from the Alexandria database describes crystalline NdAlZnCu2 at its relaxed geometry. The functional is PBE.

Cell and atoms, written as CIF:
```
data_NdAlZnCu2
_cell_length_a 4.052
_cell_length_b 4.052
_cell_length_c 11.034
_cell_angle_alpha 90.00
_cell_angle_beta 90.00
_cell_angle_gamma 90.00
_space_group_name_H-M_alt 'I -4 m 2'
_space_group_IT_number 119
_space_group_name_Hall 'I -4 -2'
loop_
_atom_site_label
_atom_site_type_symbol
_atom_site_fract_x
_atom_site_fract_y
_atom_site_fract_z
Nd1 Nd 0.000 0.000 0.000
Al1 Al 0.000 0.500 0.250
Zn1 Zn 0.000 0.500 0.750
Cu1 Cu 0.000 0.000 0.388
```

***

Energy
In order: -2.773; -3.914; -2.859; -3.857; -3.346; -3.974; -2.227; -3.903
Unit: eV per atom